DFT (PBE) results for crystalline ScCr2Ru2 at its relaxed geometry.

Lattice parameters (Å, degrees): 4.1229 4.1229 9.2781 90.00 90.00 90.00
With the nearest neighbours (Å) after each atom.
Space group I4/mmm (No. 139)
One atom of each set of equivalent atoms:
Sc: 0.0000 0.0000 0.0000  8 Ru 3.10, 8 Cr 3.11
Cr: 0.0000 0.0000 0.3826  1 Cr 2.18, 4 Ru 2.40
Ru: 0.0000 0.5000 0.2500  4 Cr 2.40

Results
excess energy over the best structure of this formula in the dataset	0	meV per atom
crystal system	tetragonal
calculated volume	15.8	Å³/atom
raw total energy	-8.803	eV/atom
formation energy from the elements	0.12	eV per formula unit
mass density	7.4	g/cm3
total magnetization	0.00	μB per cell